# Tb2CuSe | Alexandria | GGA-PBE | relaxed
data_Tb2CuSe
_cell_length_a 3.975
_cell_length_b 3.975
_cell_length_c 21.187
_cell_angle_alpha 90.00
_cell_angle_beta 90.00
_cell_angle_gamma 120.00
_space_group_name_H-M_alt 'P 1'
_space_group_IT_number 1
loop_
_space_group_symop_operation_xyz
'x,y,z'
loop_
_atom_site_label
_atom_site_type_symbol
_atom_site_fract_x
_atom_site_fract_y
_atom_site_fract_z
Tb1 Tb 0.000 0.000 0.248
Tb2 Tb 0.000 0.000 0.752
Tb3 Tb 0.333 0.667 0.418
Tb4 Tb 0.333 0.667 0.915
Tb5 Tb 0.667 0.333 0.085
Tb6 Tb 0.667 0.333 0.582
Cu1 Cu 0.000 0.000 0.500
Cu2 Cu 0.333 0.667 0.167
Cu3 Cu 0.667 0.333 0.833
Se1 Se 0.000 0.000 0.000
Se2 Se 0.333 0.667 0.667
Se3 Se 0.667 0.333 0.333
# **Uncorrected formation energy**: -90 kJ/mol of atoms
# **Energy relative to the lowest polymorph listed for this composition**: 79 meV per atom
# **Energy**: -5.1451 eV per atom